No. 1
Material: Ba2Al4Zn3Ag
Method: DFT, PBE
State: optimized geometry

Geometry as extended XYZ:
```
10
Lattice="4.6318 0.0000 0.0000 0.0000 4.6318 0.0000 0.0000 0.0000 10.8352" Properties=species:S:1:pos:R:3 pbc="T T T"
Ba 0.0000 2.3159 2.7098
Ba 2.3159 0.0000 8.1254
Al 0.0000 0.0000 0.0000
Al 0.0000 2.3159 6.7309
Al 2.3159 0.0000 4.1043
Al 2.3159 2.3159 0.0000
Zn 0.0000 2.3159 9.4431
Zn 2.3159 0.0000 1.3921
Zn 2.3159 2.3159 5.4176
Ag 0.0000 0.0000 5.4176
```

Fermi-level density of states = 0.7918 states/eV per atom

---

No. 2
Material: BaAlZn4Ag2
Method: DFT, PBE
State: optimized geometry

Geometry as extended XYZ:
```
8
Lattice="2.2272 1.2859 9.9389 -2.2272 1.2859 9.9389 0.0000 -2.5717 9.9389" Properties=species:S:1:pos:R:3 pbc="T T T"
Ba 0.0000 0.0000 0.0000
Al 0.0000 0.0000 14.9083
Zn 0.0000 0.0000 3.8255
Zn 0.0000 0.0000 12.2032
Zn 0.0000 0.0000 17.6134
Zn 0.0000 0.0000 25.9911
Ag 0.0000 0.0000 6.9215
Ag 0.0000 0.0000 22.8951
```

Fermi-level density of states = 0.3529 states/eV per atom

---

No. 3
Material: BaAlZnAg2
Method: DFT, PBE
State: optimized geometry

Geometry as extended XYZ:
```
5
Lattice="5.1036 0.0000 0.0000 0.0000 5.1036 0.0000 0.0000 0.0000 5.0464" Properties=species:S:1:pos:R:3 pbc="T T T"
Ba 0.0000 0.0000 0.0000
Al 2.5518 2.5518 2.5232
Zn 2.5518 2.5518 0.0000
Ag 0.0000 2.5518 2.5232
Ag 2.5518 0.0000 2.5232
```

E above lowest polymorph = 105 meV per atom
Fermi-level density of states = 0.5411 states/eV per atom

---

Number 1: energy relative to the elements -0.2024 eV per atom. Number 2: energy relative to the elements -0.0664 eV per atom. Number 3: energy relative to the elements -0.0747 eV per atom.